[1]
VASP calculation (PBE) on a relaxed structure of KPmAuSe2.

Calculated values
Total moment ... 0.0 Bohr magnetons per cell
DOS(E_F) ... 5.71 states/eV per cell

a = 7.718 Å, b = 5.011 Å, c = 8.163 Å
α = 90.00°, β = 99.18°, γ = 90.00°
Space group P2/c (No. 13)
Inequivalent atoms, fractional coordinates:
K: 0.000 0.141 0.250
Pm: 0.500 0.492 0.750
Au: 0.500 0.000 0.000
Se: 0.246 0.338 0.965

***

[2]
VASP calculation (PBE) on a relaxed structure of ScSiAs2Br.

Calculated values
Total moment ... 0.0 Bohr magnetons per cell
DOS(E_F) ... 2.20 states/eV per cell
Excess energy over the best structure of this formula in the dataset ... 0 meV/atom

a = 4.799 Å, b = 4.799 Å, c = 4.998 Å
α = 90.00°, β = 90.00°, γ = 90.00°
Space group P4/mmm (No. 123)
Inequivalent atoms, fractional coordinates:
Sc: 0.000 0.000 0.000
Si: 0.500 0.500 0.500
As: 0.000 0.500 0.500
Br: 0.500 0.500 0.000

***

[3]
VASP calculation (PBE) on a relaxed structure of MgFe2Au2.

Calculated values
Total moment ... 11.5 Bohr magnetons per cell
Calculated formation energy ... 0.399 eV/f.u.
DOS(E_F) ... 8.70 states/eV per cell

a = 7.578 Å, b = 7.578 Å, c = 2.894 Å
α = 90.00°, β = 90.00°, γ = 90.00°
Space group P4/mbm (No. 127)
Inequivalent atoms, fractional coordinates:
Mg: 0.000 0.000 0.000
Fe: 0.109 0.391 0.000
Au: 0.184 0.684 0.500

***

| no. | final energy (eV/atom) |
| --- | --- |
| 1 | -4.316 |
| 2 | -4.409 |
| 3 | -4.935 |